(1)
Sr2In5Ag5: optimized geometry, PBE.

Values from the calculation:
Energy above the lowest structure with this stoichiometry, eV/atom: 0.0387
Calculated density, g/cm3: 7.14
Formation energy from the elements, kJ/mol of atoms: -18.98

a = 4.707 Å, b = 5.935 Å, c = 10.732 Å
α = 90.00°, β = 90.00°, γ = 90.00°
Space group Pmmm (No. 47)
Inequivalent atoms, fractional coordinates:
Sr1 0.000 0.000 0.000 (multiplicity 1)
Sr2 0.000 0.500 0.500 (multiplicity 1)
In1 0.000 0.000 0.318 (multiplicity 2)
In2 0.000 0.500 0.164 (multiplicity 2)
In3 0.500 0.000 0.500 (multiplicity 1)
Ag1 0.500 0.250 0.243 (multiplicity 4)
Ag2 0.500 0.500 0.000 (multiplicity 1)

=====

(2)
SrInAg3: optimized geometry, PBE.

Values from the calculation:
Energy above the lowest structure with this stoichiometry, eV/atom: 0.9414
Calculated density, g/cm3: 4.24
Formation energy from the elements, kJ/mol of atoms: 70.99

a = 5.906 Å, b = 5.906 Å, c = 5.906 Å
α = 90.00°, β = 90.00°, γ = 90.00°
Space group Pm-3m (No. 221)
Inequivalent atoms, fractional coordinates:
Sr1 0.000 0.000 0.000 (multiplicity 1)
In1 0.500 0.500 0.500 (multiplicity 1)
Ag1 0.000 0.000 0.500 (multiplicity 3)

=====

(3)
SrInAg2: optimized geometry, PBE.

Values from the calculation:
Calculated density, g/cm3: 6.32
Formation energy from the elements, kJ/mol of atoms: -16.83

a = 3.812 Å, b = 4.794 Å, c = 6.007 Å
α = 90.00°, β = 90.00°, γ = 90.00°
Space group Pmmm (No. 47)
Inequivalent atoms, fractional coordinates:
Sr1 0.000 0.000 0.000 (multiplicity 1)
In1 0.500 0.000 0.500 (multiplicity 1)
Ag1 0.500 0.500 0.244 (multiplicity 2)

=====

(4)
Sr3In7Ag4: optimized geometry, PBE.

Values from the calculation:
Calculated density, g/cm3: 6.78
Formation energy from the elements, kJ/mol of atoms: -30.51

a = 17.658 Å, b = 4.711 Å, c = 10.885 Å
α = 90.00°, β = 125.87°, γ = 90.00°
Space group C2/m (No. 12)
Inequivalent atoms, fractional coordinates:
Sr1 0.000 0.000 0.000 (multiplicity 2)
Sr2 0.191 0.500 0.695 (multiplicity 4)
In1 0.000 0.000 0.500 (multiplicity 2)
In2 0.005 0.500 0.291 (multiplicity 4)
In3 0.156 0.000 0.425 (multiplicity 4)
In4 0.177 0.500 0.026 (multiplicity 4)
Ag1 0.122 0.000 0.838 (multiplicity 4)
Ag2 0.160 0.500 0.272 (multiplicity 4)

=====

(5)
SrInAg2: optimized geometry, PBE.

Values from the calculation:
Calculated density, g/cm3: 5.49
Formation energy from the elements, kJ/mol of atoms: -4.51

a = 5.144 Å, b = 5.144 Å, c = 19.131 Å
α = 90.00°, β = 90.00°, γ = 90.00°
Space group I-42d (No. 122)
Inequivalent atoms, fractional coordinates:
Sr1 0.000 0.000 0.000 (multiplicity 4)
In1 0.000 0.000 0.500 (multiplicity 4)
Ag1 0.092 0.250 0.625 (multiplicity 8)

=====

(6)
SrIn2Ag: optimized geometry, PBE.

Values from the calculation:
Calculated density, g/cm3: 6.70
Formation energy from the elements, kJ/mol of atoms: -23.41

a = 5.292 Å, b = 5.292 Å, c = 7.522 Å
α = 90.00°, β = 90.00°, γ = 90.00°
Space group I-4m2 (No. 119)
Inequivalent atoms, fractional coordinates:
Sr1 0.000 0.000 0.000 (multiplicity 2)
In1 0.000 0.000 0.500 (multiplicity 2)
In2 0.000 0.500 0.750 (multiplicity 2)
Ag1 0.000 0.500 0.250 (multiplicity 2)

=====

(7)
Sr3InAg: optimized geometry, PBE.

Values from the calculation:
Energy above the lowest structure with this stoichiometry, eV/atom: 0.0000
Calculated density, g/cm3: 4.42
Formation energy from the elements, kJ/mol of atoms: -26.63

a = 5.744 Å, b = 22.150 Å, c = 5.737 Å
α = 90.00°, β = 90.00°, γ = 90.00°
Space group Cmcm (No. 63)
Inequivalent atoms, fractional coordinates:
Sr1 0.000 0.073 0.250 (multiplicity 4)
Sr2 0.000 0.249 0.250 (multiplicity 4)
Sr3 0.000 0.424 0.250 (multiplicity 4)
In1 0.000 0.157 0.750 (multiplicity 4)
Ag1 0.000 0.340 0.750 (multiplicity 4)

=====

(8)
Sr3InAg: optimized geometry, PBE.

Values from the calculation:
Energy above the lowest structure with this stoichiometry, eV/atom: 0.2345
Calculated density, g/cm3: 3.66
Formation energy from the elements, kJ/mol of atoms: -4.00

a = 6.037 Å, b = 6.037 Å, c = 6.037 Å
α = 90.00°, β = 90.00°, γ = 90.00°
Space group Pm-3m (No. 221)
Inequivalent atoms, fractional coordinates:
Sr1 0.000 0.000 0.500 (multiplicity 3)
In1 0.500 0.500 0.500 (multiplicity 1)
Ag1 0.000 0.000 0.000 (multiplicity 1)

=====

(9)
SrIn2Ag: optimized geometry, PBE.

Values from the calculation:
Calculated density, g/cm3: 6.03
Formation energy from the elements, kJ/mol of atoms: -21.74

a = 4.974 Å, b = 4.881 Å, c = 5.013 Å
α = 90.00°, β = 105.88°, γ = 90.00°
Space group P2/m (No. 10)
Inequivalent atoms, fractional coordinates:
Sr1 0.000 0.000 0.000 (multiplicity 1)
In1 0.313 0.500 0.689 (multiplicity 2)
Ag1 0.500 0.000 0.500 (multiplicity 1)

=====

(10)
Sr6In3Ag: optimized geometry, PBE.

Values from the calculation:
Calculated density, g/cm3: 4.53
Formation energy from the elements, kJ/mol of atoms: -29.74

a = 10.067 Å, b = 5.757 Å, c = 13.290 Å
α = 90.00°, β = 111.31°, γ = 90.00°
Space group P2_1/m (No. 11)
Inequivalent atoms, fractional coordinates:
Sr1 0.018 0.250 0.415 (multiplicity 2)
Sr2 0.171 0.750 0.161 (multiplicity 2)
Sr3 0.253 0.250 0.998 (multiplicity 2)
Sr4 0.342 0.750 0.830 (multiplicity 2)
Sr5 0.368 0.250 0.358 (multiplicity 2)
Sr6 0.375 0.250 0.643 (multiplicity 2)
In1 0.018 0.750 0.864 (multiplicity 2)
In2 0.079 0.250 0.721 (multiplicity 2)
In3 0.261 0.750 0.470 (multiplicity 2)
Ag1 0.459 0.750 0.096 (multiplicity 2)

=====

(11)
SrInAg4: optimized geometry, PBE.

Values from the calculation:
Calculated density, g/cm3: 7.91
Formation energy from the elements, kJ/mol of atoms: -19.51

a = 8.105 Å, b = 8.105 Å, c = 8.105 Å
α = 90.00°, β = 90.00°, γ = 90.00°
Space group F-43m (No. 216)
Inequivalent atoms, fractional coordinates:
Sr1 0.000 0.000 0.000 (multiplicity 4)
In1 0.250 0.250 0.250 (multiplicity 4)
Ag1 0.124 0.124 0.624 (multiplicity 16)

=====

(12)
SrIn2Ag4: optimized geometry, PBE.

Values from the calculation:
Energy above the lowest structure with this stoichiometry, eV/atom: 0.0000
Calculated density, g/cm3: 7.59
Formation energy from the elements, kJ/mol of atoms: -15.41

a = 19.579 Å, b = 4.903 Å, c = 6.828 Å
α = 90.00°, β = 90.00°, γ = 90.00°
Space group Pnma (No. 62)
Inequivalent atoms, fractional coordinates:
Sr1 0.135 0.250 0.006 (multiplicity 4)
In1 0.032 0.750 0.232 (multiplicity 4)
In2 0.225 0.250 0.527 (multiplicity 4)
Ag1 0.041 0.750 0.738 (multiplicity 4)
Ag2 0.083 0.250 0.503 (multiplicity 4)
Ag3 0.172 0.750 0.318 (multiplicity 4)
Ag4 0.185 0.750 0.717 (multiplicity 4)

=====

In order of appearance, magnetic moment = 0.000, 0.000, 0.000, 0.000, 0.000, 0.000, 0.000, 0.000, 0.000, 0.000, 0.000, 0.000 μB per cell.